Record 1
Material: KBePb4
Method: DFT, PBE
State: optimized geometry

The calculation puts the volume at 199 Å³/f.u. The calculated total energy is -2.843 eV per atom. The magnetization is 0.0 μB per formula unit.

a b c (Å): 6.557 6.557 6.557
angles (deg): 60.00 60.00 60.00
Sites, in units of the cell vectors:
K 0.000 0.000 0.000
Be 0.250 0.250 0.250
Pb 0.127 0.624 0.624
Pb 0.624 0.127 0.624
Pb 0.624 0.624 0.127
Pb 0.624 0.624 0.624

=====

Record 2
Material: SiSbIrI2
Method: DFT, PBE
State: optimized geometry

The calculation puts the volume at 148 Å³/f.u. The calculated total energy is -2.923 eV per atom. The magnetization is 1.9 μB per formula unit. The offset from the most stable computed form comes out at 557 meV per atom.

a b c (Å): 5.227 5.227 5.404
angles (deg): 90.00 90.00 90.00
Sites, in units of the cell vectors:
Si 0.000 0.000 0.000
Sb 0.000 0.000 0.500
Ir 0.500 0.500 0.500
I 0.000 0.500 0.000
I 0.500 0.000 0.000

=====

Record 3
Material: K6Na8Au
Method: DFT, PBE
State: optimized geometry

The calculation puts the volume at 717 Å³/f.u. The calculated total energy is -1.357 eV per atom. The magnetization is 0.0 μB per formula unit.

a b c (Å): 10.737 10.737 10.737
angles (deg): 52.30 52.30 52.30
Sites, in units of the cell vectors:
K 0.060 0.210 0.585
K 0.210 0.585 0.060
K 0.415 0.940 0.790
K 0.585 0.060 0.210
K 0.790 0.415 0.940
K 0.940 0.790 0.415
Na 0.098 0.781 0.667
Na 0.219 0.333 0.902
Na 0.333 0.902 0.219
Na 0.429 0.429 0.429
Na 0.571 0.571 0.571
Na 0.667 0.098 0.781
Na 0.781 0.667 0.098
Na 0.902 0.219 0.333
Au 0.000 0.000 0.000

=====

Record 4
Material: NaSr2Sm
Method: DFT, PBE
State: optimized geometry

The calculation puts the volume at 173 Å³/f.u. The calculated total energy is -2.174 eV per atom. The magnetization is 0.0 μB per formula unit. The offset from the most stable computed form comes out at 56 meV per atom.

a b c (Å): 6.429 6.429 4.188
angles (deg): 90.00 90.00 90.00
Sites, in units of the cell vectors:
Na 0.000 0.000 0.000
Sr 0.000 0.500 0.500
Sr 0.500 0.000 0.500
Sm 0.500 0.500 0.000

=====

Record 5
Material: GdLuTlSn
Method: DFT, PBE
State: optimized geometry

The calculation puts the volume at 108 Å³/f.u. The calculated total energy is -6.675 eV per atom. The magnetization is 7.2 μB per formula unit.

a b c (Å): 5.342 5.342 5.342
angles (deg): 60.00 60.00 60.00
Sites, in units of the cell vectors:
Gd 0.000 0.000 0.000
Lu 0.500 0.500 0.500
Tl 0.250 0.250 0.250
Sn 0.750 0.750 0.750

=====

Record 6
Material: Lu2ZrPa
Method: DFT, PBE
State: optimized geometry

The calculation puts the volume at 105 Å³/f.u. The calculated total energy is -6.611 eV per atom. The magnetization is 0.0 μB per formula unit.

a b c (Å): 4.610 4.610 4.957
angles (deg): 90.00 90.00 90.00
Sites, in units of the cell vectors:
Lu 0.000 0.500 0.000
Lu 0.500 0.000 0.000
Zr 0.000 0.000 0.500
Pa 0.500 0.500 0.500

=====

Record 7
Material: Si2SbRu
Method: DFT, PBE
State: optimized geometry

The calculation puts the volume at 66 Å³/f.u. The calculated total energy is -5.620 eV per atom. The magnetization is 0.0 μB per formula unit.

a b c (Å): 4.644 4.644 3.185
angles (deg): 90.00 90.00 107.08
Sites, in units of the cell vectors:
Si 0.000 0.500 0.000
Si 0.500 0.000 0.000
Sb 0.000 0.000 0.500
Ru 0.500 0.500 0.500

=====

Record 8
Material: Sc2TaBr
Method: DFT, PBE
State: optimized geometry

The calculation puts the volume at 84 Å³/f.u. The calculated total energy is -6.371 eV per atom. The magnetization is 0.0 μB per formula unit. The offset from the most stable computed form comes out at 479 meV per atom.

a b c (Å): 5.173 5.173 5.523
angles (deg): 105.90 105.90 36.51
Sites, in units of the cell vectors:
Sc 0.235 0.235 0.245
Sc 0.765 0.765 0.755
Ta 0.000 0.000 0.500
Br 0.500 0.500 0.000

=====

Record 9
Material: Ho2ThZn3
Method: DFT, PBE
State: optimized geometry

The calculation puts the volume at 139 Å³/f.u. The calculated total energy is -3.681 eV per atom. The magnetization is 0.0 μB per formula unit. The offset from the most stable computed form comes out at 0 meV per atom.

a b c (Å): 3.568 3.568 10.890
angles (deg): 90.00 90.00 90.00
Sites, in units of the cell vectors:
Ho 0.000 0.000 0.162
Ho 0.000 0.000 0.838
Th 0.000 0.000 0.500
Zn 0.500 0.500 0.000
Zn 0.500 0.500 0.318
Zn 0.500 0.500 0.682

=====

Record 10
Material: ZrCuPO2
Method: DFT, PBE
State: optimized geometry

The calculation puts the volume at 91 Å³/f.u. The calculated total energy is -6.573 eV per atom. The magnetization is 0.3 μB per formula unit. The offset from the most stable computed form comes out at 0 meV per atom.

a b c (Å): 3.990 3.990 5.720
angles (deg): 90.00 90.00 90.00
Sites, in units of the cell vectors:
Zr 0.000 0.000 0.000
Cu 0.500 0.500 0.500
P 0.000 0.000 0.500
O 0.000 0.500 0.000
O 0.500 0.000 0.000

=====

Record 11
Material: NpGeH2O6
Method: DFT, PBE
State: optimized geometry

The calculation puts the volume at 110 Å³/f.u. The calculated total energy is -7.210 eV per atom. The magnetization is 1.0 μB per formula unit.

a b c (Å): 5.036 5.147 5.470
angles (deg): 62.50 89.89 64.50
Sites, in units of the cell vectors:
Np 0.000 0.000 0.000
Ge 0.500 0.000 0.500
H 0.394 0.536 0.707
H 0.606 0.464 0.293
O 0.154 0.107 0.257
O 0.255 0.119 0.742
O 0.417 0.455 0.273
O 0.583 0.545 0.727
O 0.745 0.881 0.258
O 0.846 0.893 0.743

=====

Record 12
Material: CsAlGe
Method: DFT, PBE
State: optimized geometry

The calculation puts the volume at 116 Å³/f.u. The calculated total energy is -3.058 eV per atom. The magnetization is 0.0 μB per formula unit.

a b c (Å): 12.107 12.107 12.107
angles (deg): 158.82 158.82 30.13
Sites, in units of the cell vectors:
Cs 0.143 0.143 0.000
Cs 0.857 0.857 0.000
Al 0.000 0.500 0.500
Al 0.500 0.000 0.500
Ge 0.436 0.436 0.000
Ge 0.564 0.564 0.000

=====

Record 13
Material: ScCdCS2
Method: DFT, PBE
State: optimized geometry

The calculation puts the volume at 104 Å³/f.u. The calculated total energy is -4.061 eV per atom. The magnetization is 1.5 μB per formula unit. The offset from the most stable computed form comes out at 480 meV per atom.

a b c (Å): 5.024 5.024 4.124
angles (deg): 90.00 90.00 90.00
Sites, in units of the cell vectors:
Sc 0.000 0.000 0.000
Cd 0.500 0.500 0.500
C 0.500 0.500 0.000
S 0.000 0.500 0.500
S 0.500 0.000 0.500